1.
A plane-wave DFT calculation with PBE was carried out for an optimized crystal structure of LiMgMnCl6.

Summary:
**Crystal system**: tetragonal
**Magnetic moment**: 8.0 μB/cell
**Formation energy from raw total energies**: -12.6 eV per formula unit

Cell lengths 6.2226, 6.2226, 10.5944 Å; angles 90.00, 90.00, 90.00 degrees
Closest atoms and distances in Å follow each position.
Space group P4_2nm (No. 102)
Inequivalent atoms, fractional coordinates:
Li (0.0000, 0.0000, 0.0000) x2  4 Cl 2.43-2.51
Mg (0.0000, 0.0000, 0.3185) x2  4 Cl 2.40-2.50
Mn (0.0000, 0.0000, 0.6623) x2  4 Cl 2.30-2.31
Cl (0.1783, 0.1783, 0.5026) x4  1 Mn 2.31, 1 Mg 2.50
Cl (0.1826, 0.1826, 0.8177) x4  1 Mn 2.30, 1 Li 2.51
Cl (0.1960, 0.1960, 0.1614) x4  1 Mg 2.40, 1 Li 2.43, 1 Mn 2.68

2.
A plane-wave DFT calculation with PBE was carried out for an optimized crystal structure of Li2MgNCl.

Summary:
**Crystal system**: orthorhombic
**Magnetic moment**: 0.0 μB/cell
**Formation energy from raw total energies**: -4.6 eV per formula unit

Cell lengths 3.2173, 13.8478, 6.2483 Å; angles 90.00, 90.00, 90.00 degrees
Closest atoms and distances in Å follow each position.
Space group Cmcm (No. 63)
Inequivalent atoms, fractional coordinates:
Li (0.0000, 0.1401, 0.0140) x8  1 N 1.94
Mg (0.0000, 0.4997, 0.2500) x4  4 N 2.24
N (0.0000, 0.0000, 0.0000) x4  2 Li 1.94
Cl (0.0000, 0.2733, 0.7500) x4  6 Li 2.47-2.49